The following is a DFT calculation (PBE) of LiErGaPb after structural relaxation.

The structure belongs to space group F-43m (No. 216); the cell edges are 7.169, 7.169 and 7.169 Å and the angles 90.00°, 90.00° and 90.00°. The asymmetric unit holds Li at (0.000, 0.000, 0.000), Er at (0.000, 0.000, 0.500), Ga at (0.250, 0.250, 0.250) and Pb at (0.250, 0.250, 0.750).

For the total energy, the calculation gives -14.519 eV per formula unit. The value obtained for the formation energy is -327 meV per atom. The crystal system is cubic.

---

The following is a DFT calculation (PBE) of LiErGa2Pd2 after structural relaxation.

The structure belongs to space group P-3m1 (No. 164); the cell edges are 4.3883, 4.3883 and 6.3252 Å and the angles 90.00°, 90.00° and 120.00°. The asymmetric unit holds Li at (0.0000, 0.0000, 0.0000), Er at (0.0000, 0.0000, 0.5000), Ga at (0.3333, 0.6667, 0.8017) and Pd at (0.3333, 0.6667, 0.2198).

For the total energy, the calculation gives -27.269 eV per formula unit. The value obtained for the formation energy is -726 meV per atom. The crystal system is trigonal.

---

The following is a DFT calculation (PBE) of Li2ErGaPd4 after structural relaxation.

The structure belongs to space group R-3m (No. 166, hexagonal axes); the cell edges are 4.4466, 4.4466 and 22.2325 Å and the angles 90.00°, 90.00° and 120.00°. The asymmetric unit holds Li at (0.0000, 0.0000, 0.2460), Er at (0.0000, 0.0000, 0.0000), Ga at (0.0000, 0.0000, 0.5000), Pd at (0.0000, 0.0000, 0.1294) and Pd at (0.0000, 0.0000, 0.3860).

For the total energy, the calculation gives -37.707 eV per formula unit. The value obtained for the formation energy is -690 meV per atom. The crystal system is trigonal.

---

The following is a DFT calculation (PBE) of LiErGa4Pd2 after structural relaxation.

The structure belongs to space group R-3m (No. 166, hexagonal axes); the cell edges are 4.3066, 4.3066 and 25.1619 Å and the angles 90.00°, 90.00° and 120.00°. The asymmetric unit holds Li at (0.0000, 0.0000, 0.0000), Er at (0.0000, 0.0000, 0.5000), Ga at (0.0000, 0.0000, 0.1040), Ga at (0.0000, 0.0000, 0.3710) and Pd at (0.0000, 0.0000, 0.2629).

For the total energy, the calculation gives -33.793 eV per formula unit. The value obtained for the formation energy is -603 meV per atom. The crystal system is trigonal.

---

The following is a DFT calculation (PBE) of LiErGa2Pd4 after structural relaxation.

The structure belongs to space group R-3m (No. 166, hexagonal axes); the cell edges are 4.3583, 4.3583 and 23.7134 Å and the angles 90.00°, 90.00° and 120.00°. The asymmetric unit holds Li at (0.0000, 0.0000, 0.0000), Er at (0.0000, 0.0000, 0.5000), Ga at (0.0000, 0.0000, 0.2593), Pd at (0.0000, 0.0000, 0.1047) and Pd at (0.0000, 0.0000, 0.3719).

For the total energy, the calculation gives -39.307 eV per formula unit. The value obtained for the formation energy is -751 meV per atom. The crystal system is trigonal.

---

The following is a DFT calculation (PBE) of Li2PmEr2Ga2 after structural relaxation.

The structure belongs to space group R-3m (No. 166, hexagonal axes); the cell edges are 4.6360, 4.6360 and 26.1192 Å and the angles 90.00°, 90.00° and 120.00°. The asymmetric unit holds Li at (0.0000, 0.0000, 0.0961), Pm at (0.0000, 0.0000, 0.5000), Er at (0.0000, 0.0000, 0.3722) and Ga at (0.0000, 0.0000, 0.2425).

For the total energy, the calculation gives -25.721 eV per formula unit. The value obtained for the formation energy is -281 meV per atom. The crystal system is trigonal.

---

The following is a DFT calculation (PBE) of LiPrErGa after structural relaxation.

The structure belongs to space group F-43m (No. 216); the cell edges are 7.327, 7.327 and 7.327 Å and the angles 90.00°, 90.00° and 90.00°. The asymmetric unit holds Li at (0.000, 0.000, 0.000), Pr at (0.250, 0.250, 0.750), Er at (0.250, 0.250, 0.250) and Ga at (0.000, 0.000, 0.500).

For the total energy, the calculation gives -15.455 eV per formula unit. The value obtained for the formation energy is -293 meV per atom. The crystal system is cubic.

---

The following is a DFT calculation (PBE) of Li2Pr2ErGa2 after structural relaxation.

The structure belongs to space group R-3m (No. 166, hexagonal axes); the cell edges are 4.6246, 4.6246 and 27.1670 Å and the angles 90.00°, 90.00° and 120.00°. The asymmetric unit holds Li at (0.0000, 0.0000, 0.1128), Pr at (0.0000, 0.0000, 0.3753), Er at (0.0000, 0.0000, 0.5000) and Ga at (0.0000, 0.0000, 0.2311).

For the total energy, the calculation gives -25.991 eV per formula unit. The value obtained for the formation energy is -284 meV per atom. The crystal system is trigonal.

---

The following is a DFT calculation (PBE) of Li2PrEr2Ga2 after structural relaxation.

The structure belongs to space group R-3m (No. 166, hexagonal axes); the cell edges are 4.6610, 4.6610 and 26.2439 Å and the angles 90.00°, 90.00° and 120.00°. The asymmetric unit holds Li at (0.0000, 0.0000, 0.0930), Pr at (0.0000, 0.0000, 0.5000), Er at (0.0000, 0.0000, 0.3715) and Ga at (0.0000, 0.0000, 0.2442).

For the total energy, the calculation gives -25.761 eV per formula unit. The value obtained for the formation energy is -282 meV per atom. The crystal system is trigonal.

---

The following is a DFT calculation (PBE) of Li2ErGa2Pt2 after structural relaxation.

The structure belongs to space group C2/m (No. 12); the cell edges are 7.658, 4.387 and 7.557 Å and the angles 90.00°, 108.27° and 90.00°. The asymmetric unit holds Li at (0.085, 0.000, 0.247), Er at (0.000, 0.500, 0.500), Ga at (0.133, 0.500, 0.907) and Pt at (0.242, 0.000, 0.740).

For the total energy, the calculation gives -31.367 eV per formula unit. The value obtained for the formation energy is -692 meV per atom. The crystal system is monoclinic.

---

The following is a DFT calculation (PBE) of LiErGa4Pt2 after structural relaxation.

The structure belongs to space group R-3m (No. 166, hexagonal axes); the cell edges are 4.2921, 4.2921 and 25.2258 Å and the angles 90.00°, 90.00° and 120.00°. The asymmetric unit holds Li at (0.0000, 0.0000, 0.0000), Er at (0.0000, 0.0000, 0.5000), Ga at (0.0000, 0.0000, 0.1040), Ga at (0.0000, 0.0000, 0.3698) and Pt at (0.0000, 0.0000, 0.2627).

For the total energy, the calculation gives -36.302 eV per formula unit. The value obtained for the formation energy is -705 meV per atom. The crystal system is trigonal.

---

The following is a DFT calculation (PBE) of LiEr2Ga3Pt4 after structural relaxation.

The structure belongs to space group P-4m2 (No. 115); the cell edges are 3.980, 3.980 and 11.567 Å and the angles 90.00°, 90.00° and 90.00°. The asymmetric unit holds Li at (0.000, 0.000, 0.000), Er at (0.000, 0.500, 0.755), Ga at (0.000, 0.500, 0.366), Ga at (0.500, 0.500, 0.000), Pt at (0.000, 0.000, 0.500), Pt at (0.000, 0.500, 0.151) and Pt at (0.500, 0.500, 0.500).

For the total energy, the calculation gives -53.565 eV per formula unit. The value obtained for the formation energy is -928 meV per atom. The crystal system is tetragonal.

---

The following is a DFT calculation (PBE) of LiEr2Ga4Pt3 after structural relaxation.

The structure belongs to space group P-4m2 (No. 115); the cell edges are 4.014, 4.014 and 11.408 Å and the angles 90.00°, 90.00° and 90.00°. The asymmetric unit holds Li at (0.000, 0.000, 0.000), Er at (0.000, 0.500, 0.747), Ga at (0.000, 0.000, 0.500), Ga at (0.000, 0.500, 0.136), Ga at (0.500, 0.500, 0.500), Pt at (0.000, 0.500, 0.355) and Pt at (0.500, 0.500, 0.000).

For the total energy, the calculation gives -49.748 eV per formula unit. The value obtained for the formation energy is -848 meV per atom. The crystal system is tetragonal.

---

Number 1: calculated volume 368.4 Å³/cell. Number 2: calculated volume 105.5 Å³/cell. Number 3: calculated volume 380.7 Å³/cell. Number 4: calculated volume 404.1 Å³/cell. Number 5: calculated volume 390.1 Å³/cell. Number 6: calculated volume 486.2 Å³/cell. Number 7: calculated volume 393.4 Å³/cell. Number 8: calculated volume 503.2 Å³/cell. Number 9: calculated volume 493.8 Å³/cell. Number 10: calculated volume 241.1 Å³/cell. Number 11: calculated volume 402.4 Å³/cell. Number 12: calculated volume 183.2 Å³/cell. Number 13: calculated volume 183.8 Å³/cell.